Here is SrCa2ZrIr after structural relaxation from Alexandria via LeMat-Bulk. Energies are from PBE-GGA.

## Properties
The calculation puts the energy relative to the elements at 1.3825 eV per atom. The calculation puts the final energy at -16.182 eV per cell. The calculation puts the magnetic moment at 0.00 Bohr magnetons per cell.

Cell lengths 5.5749, 5.5749, 4.9201 Å; angles 90.00, 90.00, 90.00 degrees
With the nearest neighbours (Å) after each atom.
Space group P4/mmm (No. 123)
Asymmetric unit:
1 Sr 0.0000 0.0000 0.0000 (multiplicity 1)  2 Ir 2.46
2 Ca 0.0000 0.5000 0.0000 (multiplicity 2)  2 Sr 2.79
3 Zr 0.5000 0.5000 0.5000 (multiplicity 1)  8 Ca 3.72, 4 Ir 3.94
4 Ir 0.0000 0.0000 0.5000 (multiplicity 1)  2 Sr 2.46

***

Here is CaTa2Ir after structural relaxation from Alexandria via LeMat-Bulk. Energies are from PBE-GGA.

## Properties
The calculation puts the energy relative to the elements at 0.3860 eV per atom. The calculation puts the final energy at -132.096 eV per cell. The calculation puts the magnetic moment at 0.00 Bohr magnetons per cell. Its polymorph energy (0 for the lowest one) is 39.8 kJ per mole of atoms.

Cell lengths 7.8891, 7.8891, 5.7110 Å; angles 90.00, 90.00, 90.00 degrees
With the nearest neighbours (Å) after each atom.
Space group I-42d (No. 122)
Asymmetric unit:
1 Ca 0.0000 0.0000 0.0000 (multiplicity 4)  2 Ir 2.86
2 Ta 0.1823 0.7500 0.6250 (multiplicity 8)  2 Ir 2.54
3 Ir 0.0000 0.0000 0.5000 (multiplicity 4)  4 Ta 2.54

***

Here is Ca2TaIr2 after structural relaxation from Alexandria via LeMat-Bulk. Energies are from PBE-GGA.

## Properties
The calculation puts the energy relative to the elements at 1.0473 eV per atom. The calculation puts the final energy at -56.682 eV per cell. The calculation puts the magnetic moment at 2.13 Bohr magnetons per cell. Its polymorph energy (0 for the lowest one) is 130.2 kJ per mole of atoms.

Cell lengths 4.8807, 4.8807, 8.8723 Å; angles 90.00, 90.00, 90.00 degrees
With the nearest neighbours (Å) after each atom.
Space group I4/mmm (No. 139)
Asymmetric unit:
1 Ca 0.0000 0.0000 0.1417 (multiplicity 4)  1 Ca 2.51, 4 Ir 2.62
2 Ta 0.0000 0.0000 0.5000 (multiplicity 2)  2 Ca 3.18, 8 Ir 3.30
3 Ir 0.0000 0.5000 0.2500 (multiplicity 4)  4 Ca 2.62

***

Here is CaTa3Ir after structural relaxation from Alexandria via LeMat-Bulk. Energies are from PBE-GGA.

## Properties
The calculation puts the energy relative to the elements at 2.6245 eV per atom. The calculation puts the final energy at -33.298 eV per cell. The calculation puts the magnetic moment at 0.00 Bohr magnetons per cell. Its polymorph energy (0 for the lowest one) is 173.1 kJ per mole of atoms.

Cell lengths 4.5972, 4.5972, 4.5972 Å; angles 90.00, 90.00, 90.00 degrees
With the nearest neighbours (Å) after each atom.
Space group Pm-3m (No. 221)
Asymmetric unit:
1 Ca 0.0000 0.0000 0.0000 (multiplicity 1)  6 Ta 2.30
2 Ta 0.0000 0.0000 0.5000 (multiplicity 3)  2 Ca 2.30
3 Ir 0.5000 0.5000 0.5000 (multiplicity 1)  12 Ta 3.25